No. 1
Density functional theory data (meta-GGA SCAN) for a PBEsol-optimized structure of Be2CrP.

Results
As for the total magnetic moment: 0.416 μB per atom. For the density of states at the Fermi level, the calculation gives 2.72 states/eV/cell. The total energy is -9.1613 eV/atom. As for the space group: F-43m, No. 216.

Cell lengths 3.7959, 3.7959, 3.7959 Å; angles 60.00, 60.00, 60.00 degrees
Last column: magnetic moment on the atom in μB.
Positions (direct):
1 Be 0.0000 0.0000 0.0000  -0.03
2 P 0.2500 0.2500 0.2500  -0.07
3 Be 0.7500 0.7500 0.7500  -0.01
4 Cr 0.5000 0.5000 0.5000  1.69

No. 2
Density functional theory data (meta-GGA SCAN) for a PBEsol-optimized structure of Be2CrP.

Results
As for the total magnetic moment: 0.001 μB per atom. For the density of states at the Fermi level, the calculation gives 1.31 states/eV/cell. The total energy is -9.4722 eV/atom. As for the space group: I4/mmm, No. 139.

Cell lengths 3.2170, 3.2176, 4.3498 Å; angles 111.71, 111.70, 90.00 degrees
Positions (direct):
1 Be 0.2500 0.2500 0.5000
2 P 0.0000 0.5000 0.0000
3 Cr 0.5000 0.0000 0.0000
4 Be 0.7500 0.7500 0.5000

No. 3
Density functional theory data (meta-GGA SCAN) for a PBEsol-optimized structure of Be2CrP.

Results
As for the total magnetic moment: 0.000 μB per atom. For the density of states at the Fermi level, the calculation gives 2.19 states/eV/cell. The total energy is -9.0369 eV/atom. As for the space group: Cmm2, No. 35.

Cell lengths 2.3862, 2.3862, 7.2348 Å; angles 90.00, 90.00, 98.74 degrees
Positions (direct):
1 P 0.5000 0.5000 0.2530
2 Cr 0.0000 0.0000 0.5159
3 Be 0.0000 0.0000 0.9711
4 Be 0.5000 0.5000 0.7600

No. 4
Density functional theory data (meta-GGA SCAN) for a PBEsol-optimized structure of BeCrPb2.

Results
As for the total magnetic moment: 1.078 μB per atom. For the density of states at the Fermi level, the calculation gives 1.69 states/eV/cell. The total energy is -43.0494 eV/atom. As for the space group: P4/mmm, No. 123.

Cell lengths 3.5236, 3.5236, 6.5504 Å; angles 90.00, 90.00, 90.00 degrees
Last column: magnetic moment on the atom in μB.
Positions (direct):
1 Pb 0.0000 0.0000 0.2399  -0.01
2 Pb 0.0000 0.0000 0.7600  -0.01
3 Be 0.5000 0.5000 0.0000  0.00
4 Cr 0.5000 0.5000 0.5000  3.96